{"formula": "BaMnBr2", "functional": "PBE-GGA", "state": "relaxed", "lattice": [[-4.7721, 3.0617, -1.5740], [-5.0987, 1.0277, 2.7518], [-1.0002, 5.2384, 2.3876]], "species": ["Ba", "Br", "Br", "Mn"], "frac_coords": [[0.7500, 0.7500, 0.7500], [0.9712, 0.9712, 0.0290], [0.5288, 0.5288, 0.4710], [0.2500, 0.2500, 0.2500]], "polymorph_energy_mev_per_atom": 49.0, "magnetic_moment_mub_per_atom": 1.2502, "formation_energy_uncorrected_ev_per_atom": -0.7436}


{"formula": "BaNaMn2Br8", "functional": "PBE-GGA", "state": "relaxed", "lattice": [[-5.8251, -5.1460, 0.3514], [4.9353, -0.1153, -6.0139], [5.4745, -5.8825, 4.6054]], "species": ["Ba", "Na", "Mn", "Mn", "Br", "Br", "Br", "Br", "Br", "Br", "Br", "Br"], "frac_coords": [[0.0000, 0.0000, 0.5000], [0.0000, 0.0000, 0.0000], [0.3333, 0.6667, 0.6862], [0.6667, 0.3333, 0.3138], [0.1615, 0.3229, 0.7732], [0.1615, 0.8385, 0.7732], [0.6771, 0.8385, 0.7732], [0.3229, 0.1615, 0.2268], [0.6667, 0.3333, 0.5708], [0.3333, 0.6667, 0.4292], [0.8385, 0.6771, 0.2268], [0.8385, 0.1615, 0.2268]], "magnetic_moment_mub_per_atom": 0.7500, "formation_energy_uncorrected_ev_per_atom": -1.1408}


{"formula": "BaNa2MnBr8", "functional": "PBE-GGA", "state": "relaxed", "lattice": [[-1.4814, 0.2007, -6.2449], [2.5462, -6.7781, 3.2958], [-8.5162, -2.2510, 1.9488]], "species": ["Ba", "Na", "Na", "Mn", "Br", "Br", "Br", "Br", "Br", "Br", "Br", "Br"], "frac_coords": [[0.0000, 0.0000, 0.5000], [0.4997, 0.5002, 0.7509], [0.5003, 0.4998, 0.2491], [0.0000, 0.0000, 0.0000], [0.0365, 0.7917, 0.1926], [0.5629, 0.7845, 0.0001], [0.9640, 0.2085, 0.1926], [0.9635, 0.2083, 0.8074], [0.4371, 0.2155, 0.9999], [0.0360, 0.7915, 0.8074], [0.4265, 0.7065, 0.4998], [0.5735, 0.2935, 0.5002]], "magnetic_moment_mub_per_atom": 0.2497, "formation_energy_uncorrected_ev_per_atom": -1.2412}